! Ac3GaI PBE relaxed; values from VASP
! Crystal system: orthorhombic
! Uncorrected formation energy (eV per atom): -0.463
! Energy (eV for the cell shown): -38.4
! Total magnetization (μB per cell): 0.0
! DOS(E_F) (states/eV/f.u.): 6.392
&SYSTEM
  ibrav = 0, nat = 10, ntyp = 3
/
ATOMIC_SPECIES
Ac 227.00 Ac.upf
Ga 69.72 Ga.upf
I 126.90 I.upf
ATOMIC_POSITIONS angstrom
Ac 1.128 4.373 1.469
Ac 3.384 5.598 7.439
Ac 1.128 0.613 1.469
Ac 3.384 9.359 7.439
Ac 1.128 2.493 6.572
Ac 3.384 7.479 2.336
Ga 3.384 2.493 8.761
Ga 1.128 7.479 0.147
I 3.384 2.493 3.780
I 1.128 7.479 5.128
CELL_PARAMETERS angstrom
4.512 0.000 0.000
0.000 9.972 0.000
0.000 0.000 8.908

! Ac2GaI PBE relaxed; values from VASP
! Crystal system: trigonal
! Distance to the lowest polymorph of the same formula (kJ/mol of formula units): 14
! Uncorrected formation energy (eV per atom): -0.717
! Energy (eV for the cell shown): -15.7
! Total magnetization (μB per cell): 0.0
! DOS(E_F) (states/eV/f.u.): 4.784
&SYSTEM
  ibrav = 0, nat = 4, ntyp = 3
/
ATOMIC_SPECIES
Ac 227.00 Ac.upf
Ga 69.72 Ga.upf
I 126.90 I.upf
ATOMIC_POSITIONS angstrom
Ac 2.328 1.344 6.621
Ac 2.328 1.344 1.659
Ga 6.985 4.033 8.277
I 4.656 2.688 4.202
CELL_PARAMETERS angstrom
4.656 0.000 0.000
2.328 4.033 0.000
2.328 1.344 8.304